No. 1
# Sb2AsPb, optimized geometry, DFT PBE
data_Sb2AsPb
_chemical_formula_sum 'Sb2 As1 Pb1'
_symmetry_space_group_name_H-M 'P 1'
_symmetry_Int_Tables_number 1
_cell_length_a 6.2655
_cell_length_b 6.2655
_cell_length_c 6.2655
_cell_angle_alpha 145.25
_cell_angle_beta 129.21
_cell_angle_gamma 63.01
loop_
_symmetry_equiv_pos_as_xyz
'x,y,z'
loop_
_atom_site_label
_atom_site_fract_x
_atom_site_fract_y
_atom_site_fract_z
Pb1 0.2727 0.7727 0.5000
Sb1 0.9836 0.9836 0.0000
Sb2 0.7206 0.2206 0.5000
As1 0.5232 0.5232 0.0000
# D(E_F) in states/eV/atom: 0.49
# Volume in Å³ per cell: 107
# Energy relative to the elements, uncorrected in kcal/mol of atoms: 4.171
# Distance to the lowest polymorph of the same formula in meV per atom: 156.2
# Space group: Imm2
# E_tot in eV per cell: -15.88

=====

No. 2
# ErGeN2, optimized geometry, DFT PBE
data_ErGeN2
_chemical_formula_sum 'Er1 Ge1 N2'
_symmetry_space_group_name_H-M 'P 1'
_symmetry_Int_Tables_number 1
_cell_length_a 3.5668
_cell_length_b 3.5668
_cell_length_c 6.2217
_cell_angle_alpha 73.34
_cell_angle_beta 73.34
_cell_angle_gamma 60.00
loop_
_symmetry_equiv_pos_as_xyz
'x,y,z'
loop_
_atom_site_label
_atom_site_fract_x
_atom_site_fract_y
_atom_site_fract_z
Ge1 0.0000 0.0000 0.0000
N1 0.1011 0.1011 0.6968
N2 0.8989 0.8989 0.3032
Er1 0.5000 0.5000 0.5000
# D(E_F) in states/eV/atom: 0.59
# Volume in Å³ per cell: 65
# Energy relative to the elements, uncorrected in kcal/mol of atoms: -11.501
# Space group: R-3m
# E_tot in eV per cell: -27.83

=====

> Which of these has the lowest D(E_F)?

Sb2AsPb